Entry 1:
A plane-wave DFT calculation with PBE was carried out for a geometry-optimized Mg2BiPd2 structure.

It has space group P4/mbm (No. 127), with a = 7.614 Å, b = 7.614 Å, c = 3.334 Å, α = 90.00°, β = 90.00° and γ = 90.00°. The asymmetric unit holds Mg at (0.153, 0.347, 0.000), Bi at (0.000, 0.000, 0.500) and Pd at (0.137, 0.637, 0.500).

The formation energy from the elements comes out at -245 kJ/mol of formula units.

***

Entry 2:
A plane-wave DFT calculation with PBE was carried out for a geometry-optimized Mg6Bi3Pd structure.

It has space group P2_1/m (No. 11), with a = 9.889 Å, b = 4.481 Å, c = 12.527 Å, α = 90.00°, β = 108.53° and γ = 90.00°. The asymmetric unit holds Mg at (0.076, 0.250, 0.451), Mg at (0.099, 0.750, 0.935), Mg at (0.124, 0.250, 0.706), Mg at (0.299, 0.750, 0.416), Mg at (0.359, 0.750, 0.808), Mg at (0.376, 0.250, 0.609), Bi at (0.090, 0.750, 0.174), Bi at (0.415, 0.250, 0.310), Bi at (0.429, 0.750, 0.061) and Pd at (0.207, 0.750, 0.595).

The formation energy from the elements comes out at -216 kJ/mol of formula units.

***

DOS(E_F) values (in states/eV/cell) by entry order: 4.4 4.5.